(1)
Entry from Alexandria: crystalline CaSb3P at its relaxed geometry (PBE).

Output
Spin magnetization = 0.000 μB/f.u.
ΔE_f (raw) = 1.12 eV per atom
Space group = Pm-3m
Density = 4.0 g/cm3
Relative energy among the computed polymorphs = 1.035 eV per atom

Lattice parameters (Å, degrees): 5.658 5.658 5.658 90.00 90.00 90.00
Fractional positions:
Ca (0.000, 0.000, 0.000)
Sb (0.500, 0.000, 0.000)
Sb (0.000, 0.500, 0.000)
Sb (0.000, 0.000, 0.500)
P (0.500, 0.500, 0.500)


(2)
Entry from Alexandria: crystalline Ca2SbP at its relaxed geometry (PBE).

Output
Spin magnetization = 0.000 μB/f.u.
ΔE_f (raw) = -0.73 eV per atom
Space group = I4/mmm
Density = 3.8 g/cm3
Relative energy among the computed polymorphs = 0.117 eV per atom

Lattice parameters (Å, degrees): 5.400 5.400 5.400 125.10 125.10 81.37
Fractional positions:
P (0.250, 0.750, 0.500)
Sb (0.750, 0.250, 0.500)
Ca (0.000, 0.000, 0.000)
Ca (0.500, 0.500, 0.000)


(3)
Entry from Alexandria: crystalline Ca12Sb3P5 at its relaxed geometry (PBE).

Output
Spin magnetization = 0.000 μB/f.u.
ΔE_f (raw) = -0.96 eV per atom
Space group = Ia-3d
Density = 2.5 g/cm3

Lattice parameters (Å, degrees): 15.140 15.140 15.140 109.47 109.47 109.47
Fractional positions:
Ca (0.676, 0.466, 0.592)
Ca (0.324, 0.790, 0.415)
Ca (0.824, 0.915, 0.290)
Ca (0.176, 0.085, 0.710)
Ca (0.626, 0.592, 0.915)
Ca (0.374, 0.966, 0.790)
Ca (0.790, 0.324, 0.915)
Ca (0.915, 0.824, 0.790)
Ca (0.534, 0.210, 0.126)
Ca (0.592, 0.626, 0.415)
Ca (0.092, 0.176, 0.466)
Ca (0.534, 0.324, 0.908)
Ca (0.408, 0.374, 0.585)
Ca (0.092, 0.915, 0.126)
Ca (0.592, 0.966, 0.676)
Ca (0.415, 0.290, 0.324)
Ca (0.790, 0.466, 0.374)
Ca (0.966, 0.592, 0.176)
Ca (0.176, 0.092, 0.966)
Ca (0.085, 0.176, 0.210)
Ca (0.290, 0.415, 0.824)
Ca (0.210, 0.534, 0.626)
Ca (0.966, 0.374, 0.290)
Ca (0.034, 0.626, 0.710)
Ca (0.676, 0.210, 0.585)
Ca (0.710, 0.585, 0.176)
Ca (0.626, 0.034, 0.210)
Ca (0.908, 0.824, 0.534)
Ca (0.415, 0.126, 0.592)
Ca (0.874, 0.290, 0.466)
Ca (0.908, 0.085, 0.874)
Ca (0.466, 0.676, 0.092)
Ca (0.874, 0.585, 0.908)
Ca (0.085, 0.908, 0.374)
Ca (0.374, 0.408, 0.085)
Ca (0.585, 0.874, 0.408)
Ca (0.324, 0.534, 0.408)
Ca (0.290, 0.874, 0.966)
Ca (0.824, 0.908, 0.034)
Ca (0.710, 0.126, 0.034)
Ca (0.466, 0.790, 0.874)
Ca (0.210, 0.676, 0.085)
Ca (0.126, 0.415, 0.092)
Ca (0.126, 0.710, 0.534)
Ca (0.585, 0.710, 0.676)
Ca (0.915, 0.092, 0.626)
Ca (0.034, 0.408, 0.824)
Ca (0.408, 0.034, 0.324)
P (0.000, 0.500, 0.500)
P (0.500, 0.000, 0.000)
P (0.000, 0.000, 0.000)
P (0.500, 0.000, 0.500)
P (0.250, 0.875, 0.125)
P (0.625, 0.750, 0.875)
P (0.500, 0.500, 0.500)
P (0.125, 0.375, 0.250)
P (0.625, 0.875, 0.250)
P (0.750, 0.625, 0.375)
P (0.375, 0.125, 0.750)
P (0.250, 0.375, 0.625)
P (0.875, 0.250, 0.625)
P (0.000, 0.500, 0.000)
P (0.375, 0.250, 0.125)
P (0.750, 0.125, 0.875)
P (0.875, 0.625, 0.750)
P (0.500, 0.500, 0.000)
P (0.125, 0.750, 0.375)
P (0.000, 0.000, 0.500)
Sb (0.125, 0.250, 0.875)
Sb (0.625, 0.250, 0.375)
Sb (0.375, 0.625, 0.250)
Sb (0.625, 0.375, 0.750)
Sb (0.750, 0.875, 0.625)
Sb (0.875, 0.750, 0.125)
Sb (0.250, 0.625, 0.875)
Sb (0.250, 0.125, 0.375)
Sb (0.875, 0.125, 0.250)
Sb (0.750, 0.375, 0.125)
Sb (0.125, 0.875, 0.750)
Sb (0.375, 0.750, 0.625)


(4)
Entry from Alexandria: crystalline CaSbP3 at its relaxed geometry (PBE).

Output
Spin magnetization = 0.000 μB/f.u.
ΔE_f (raw) = 0.44 eV per atom
Space group = Pm-3m
Density = 3.2 g/cm3
Relative energy among the computed polymorphs = 0.000 eV per atom

Lattice parameters (Å, degrees): 5.070 5.070 5.070 90.00 90.00 90.00
Fractional positions:
P (0.000, 0.000, 0.500)
P (0.000, 0.500, 0.000)
P (0.500, 0.000, 0.000)
Ca (0.500, 0.500, 0.500)
Sb (0.000, 0.000, 0.000)


(5)
Entry from Alexandria: crystalline Ca6Sb3P at its relaxed geometry (PBE).

Output
Spin magnetization = 0.000 μB/f.u.
ΔE_f (raw) = -0.95 eV per atom
Space group = C2/m
Density = 3.1 g/cm3
Relative energy among the computed polymorphs = 0.048 eV per atom

Lattice parameters (Å, degrees): 7.871 7.780 7.780 59.19 61.72 61.72
Fractional positions:
Sb (0.277, 0.245, 0.245)
Sb (0.723, 0.755, 0.755)
Sb (0.000, 0.000, 0.000)
Ca (0.139, 0.737, 0.737)
Ca (0.861, 0.263, 0.263)
Ca (0.658, 0.825, 0.333)
Ca (0.342, 0.175, 0.667)
Ca (0.342, 0.667, 0.175)
Ca (0.658, 0.333, 0.825)
P (0.500, 0.500, 0.500)


(6)
Entry from Alexandria: crystalline Ca2SbP at its relaxed geometry (PBE).

Output
Spin magnetization = 0.000 μB/f.u.
ΔE_f (raw) = -0.16 eV per atom
Space group = R3m
Density = 3.2 g/cm3
Relative energy among the computed polymorphs = 0.685 eV per atom

Lattice parameters (Å, degrees): 9.695 9.695 9.695 22.90 22.90 22.90
Fractional positions:
Ca (0.010, 0.010, 0.010)
Ca (0.228, 0.228, 0.228)
Sb (0.769, 0.769, 0.769)
P (0.493, 0.493, 0.493)


(7)
Entry from Alexandria: crystalline CaSbP4 at its relaxed geometry (PBE).

Output
Spin magnetization = 0.000 μB/f.u.
ΔE_f (raw) = 0.07 eV per atom
Space group = F-43m
Density = 3.6 g/cm3

Lattice parameters (Å, degrees): 5.702 5.702 5.702 60.00 60.00 60.00
Fractional positions:
P (0.800, 0.400, 0.400)
P (0.400, 0.400, 0.400)
P (0.400, 0.400, 0.800)
P (0.400, 0.800, 0.400)
Sb (0.750, 0.750, 0.750)
Ca (0.000, 0.000, 0.000)


(8)
Entry from Alexandria: crystalline Ca2SbP at its relaxed geometry (PBE).

Output
Spin magnetization = 0.000 μB/f.u.
ΔE_f (raw) = -0.84 eV per atom
Space group = P4/mmm
Density = 3.8 g/cm3
Relative energy among the computed polymorphs = 0.004 eV per atom

Lattice parameters (Å, degrees): 3.494 3.494 8.288 90.00 90.00 90.06
Fractional positions:
P (0.500, 0.500, 0.250)
Ca (0.000, 0.000, 0.046)
Ca (0.000, 0.000, 0.454)
Sb (0.500, 0.500, 0.750)